Below is a relaxed structure of UNi2BO6, with properties calculated at the PBE with a Hubbard U level.

Computed properties:
ρ   6.19 g cm⁻³
Calculated volume   12.40 A^3/atom
Total energy   -6.767 eV/atom

POSCAR file:
```
UNi2BO6
1.0
4.3889 0.0000 0.0000
0.0000 5.3160 0.0000
0.0000 0.0000 5.3160
U Ni B O
1 2 1 6
direct
0.6269 0.5000 0.5000
0.9234 0.5000 0.0000
0.9234 0.0000 0.5000
0.5890 0.0000 0.0000
0.7346 0.2220 0.2220
0.7346 0.2220 0.7780
0.1580 0.5000 0.5000
0.2877 0.0000 0.0000
0.7346 0.7780 0.7780
0.7346 0.7780 0.2220
```